# CsNaSc2 | Alexandria via LeMat-Bulk | PBEsol | optimized geometry
# Final energy ... -39.52 eV/cell
# Volume ... 371 Å³/cell
data_CsNaSc2
_chemical_formula_sum 'Cs3 Na3 Sc6'
_cell_length_a 3.3510
_cell_length_b 3.3510
_cell_length_c 38.1437
_cell_angle_alpha 90.00
_cell_angle_beta 90.00
_cell_angle_gamma 120.00
_space_group_name_H-M_alt 'R -3 m'
_space_group_IT_number 166
_space_group_name_Hall '-R 3 2"'
loop_
_atom_site_label
_atom_site_fract_x
_atom_site_fract_y
_atom_site_fract_z
Cs1 0.0000 0.0000 0.0000
Na1 0.0000 0.0000 0.5000
Sc1 0.0000 0.0000 0.0884

***

# CsNaSc3 | Alexandria via LeMat-Bulk | PBEsol | optimized geometry
# Final energy ... -15.81 eV/cell
# Volume ... 153 Å³/cell
data_CsNaSc3
_chemical_formula_sum 'Cs1 Na1 Sc3'
_cell_length_a 5.3452
_cell_length_b 5.3452
_cell_length_c 5.3452
_cell_angle_alpha 90.00
_cell_angle_beta 90.00
_cell_angle_gamma 90.00
_space_group_name_H-M_alt 'P m -3 m'
_space_group_IT_number 221
_space_group_name_Hall '-P 4 2 3'
loop_
_atom_site_label
_atom_site_fract_x
_atom_site_fract_y
_atom_site_fract_z
Cs1 0.0000 0.0000 0.0000
Na1 0.5000 0.5000 0.5000
Sc1 0.0000 0.0000 0.5000

***

# CsNa2Se2 | Alexandria via LeMat-Bulk | PBEsol | optimized geometry
# Final energy ... -31.00 eV/cell
# Formation energy without anion corrections ... -78 kJ per mole of atoms
# Volume ... 282 Å³/cell
data_CsNa2Se2
_chemical_formula_sum 'Cs2 Na4 Se4'
_cell_length_a 9.1103
_cell_length_b 9.1103
_cell_length_c 3.3930
_cell_angle_alpha 90.00
_cell_angle_beta 90.00
_cell_angle_gamma 90.00
_space_group_name_H-M_alt 'P 4/m b m'
_space_group_IT_number 127
_space_group_name_Hall '-P 4 2ab'
loop_
_atom_site_label
_atom_site_fract_x
_atom_site_fract_y
_atom_site_fract_z
Cs1 0.0000 0.0000 0.0000
Na1 0.1245 0.3755 0.5000
Se1 0.1622 0.6622 0.0000

***

# CsNaSe2 | Alexandria via LeMat-Bulk | PBEsol | optimized geometry
# Final energy ... -32.61 eV/cell
# Formation energy without anion corrections ... -20 kJ per mole of atoms
# Volume ... 383 Å³/cell
data_CsNaSe2
_chemical_formula_sum 'Cs3 Na3 Se6'
_cell_length_a 3.6831
_cell_length_b 3.6831
_cell_length_c 32.6296
_cell_angle_alpha 90.00
_cell_angle_beta 90.00
_cell_angle_gamma 120.00
_space_group_name_H-M_alt 'R -3 m'
_space_group_IT_number 166
_space_group_name_Hall '-R 3 2"'
loop_
_atom_site_label
_atom_site_fract_x
_atom_site_fract_y
_atom_site_fract_z
Cs1 0.0000 0.0000 0.0000
Na1 0.0000 0.0000 0.5000
Se1 0.0000 0.0000 0.4182

***

# CsNa2Si | Alexandria via LeMat-Bulk | PBEsol | optimized geometry
# Final energy ... -31.85 eV/cell
# Formation energy without anion corrections ... 37 kJ per mole of atoms
# Volume ... 722 Å³/cell
data_CsNa2Si
_chemical_formula_sum 'Cs4 Na8 Si4'
_cell_length_a 6.0921
_cell_length_b 6.0921
_cell_length_c 19.4501
_cell_angle_alpha 90.00
_cell_angle_beta 90.00
_cell_angle_gamma 90.00
_space_group_name_H-M_alt 'I 41/a m d'
_space_group_IT_number 141
loop_
_space_group_symop_operation_xyz
'x,y,z'
'-x,-y,-z'
'-y+1/4,x+3/4,z+1/4'
'y+1/4,-x+3/4,-z+1/4'
'-x+1/2,-y,z+1/2'
'x+1/2,y,-z+1/2'
'y+1/4,-x+1/4,z+3/4'
'-y+1/4,x+1/4,-z+3/4'
'x,-y,-z'
'-x,y,z'
'-y+1/4,-x+1/4,-z+3/4'
'y+1/4,x+1/4,z+3/4'
'-x+1/2,y,-z+1/2'
'x+1/2,-y,z+1/2'
'y+1/4,x+3/4,-z+1/4'
'-y+1/4,-x+3/4,z+1/4'
'x+1/2,y+1/2,z+1/2'
'-x+1/2,-y+1/2,-z+1/2'
'-y+3/4,x+1/4,z+3/4'
'y+3/4,-x+1/4,-z+3/4'
'-x,-y+1/2,z'
'x,y+1/2,-z'
'y+3/4,-x+3/4,z+1/4'
'-y+3/4,x+3/4,-z+1/4'
'x+1/2,-y+1/2,-z+1/2'
'-x+1/2,y+1/2,z+1/2'
'-y+3/4,-x+3/4,-z+1/4'
'y+3/4,x+3/4,z+1/4'
'-x,y+1/2,-z'
'x,-y+1/2,z'
'y+3/4,x+1/4,-z+3/4'
'-y+3/4,-x+1/4,z+3/4'
loop_
_atom_site_label
_atom_site_fract_x
_atom_site_fract_y
_atom_site_fract_z
Cs1 0.0000 0.2500 0.3750
Na1 0.0000 0.0000 0.0000
Si1 0.0000 0.2500 0.8750

***

# CsNa2Sn2 | Alexandria via LeMat-Bulk | PBEsol | optimized geometry
# Final energy ... -26.06 eV/cell
# Volume ... 361 Å³/cell
data_CsNa2Sn2
_chemical_formula_sum 'Cs2 Na4 Sn4'
_cell_length_a 5.8188
_cell_length_b 5.8188
_cell_length_c 10.6567
_cell_angle_alpha 90.00
_cell_angle_beta 90.00
_cell_angle_gamma 90.00
_space_group_name_H-M_alt 'I 4/m m m'
_space_group_IT_number 139
_space_group_name_Hall '-I 4 2'
loop_
_atom_site_label
_atom_site_fract_x
_atom_site_fract_y
_atom_site_fract_z
Cs1 0.0000 0.0000 0.0000
Na1 0.0000 0.5000 0.2500
Sn1 0.0000 0.0000 0.3743

***

| no. | DOS(E_F) (states/eV per cell) |
| --- | --- |
| 1 | 17.6 |
| 2 | 3.1 |
| 3 | 1.7 |
| 4 | 10.4 |
| 5 | 9.7 |
| 6 | 3.3 |